A plane-wave DFT calculation with PBE was carried out for SmTm5Sc4 after structural relaxation.

Calculated values
- density of states at the Fermi level (states/eV per cell) = 35.03
- calculated volume (Å³ per atom) = 29.68
- E above lowest polymorph (meV per atom) = 0.0
- energy of formation (eV per formula unit) = 2.96

```
SmTm5Sc4
1.0
5.3515 0.0000 0.0000
0.0000 11.0980 0.0000
0.0000 0.0000 9.9936
Sm Tm Sc
2 10 8
direct
0.2499 0.0000 0.0000
0.7501 0.5000 0.5000
0.7500 0.2989 0.3014
0.7500 0.2989 0.6986
0.2500 0.0000 0.5000
0.7500 0.7011 0.3014
0.7500 0.7011 0.6986
0.2500 0.7989 0.1986
0.2500 0.7989 0.8014
0.7500 0.5000 0.0000
0.2500 0.2011 0.8014
0.2500 0.2011 0.1986
0.7501 0.1934 0.0000
0.7502 0.0000 0.2496
0.7502 0.0000 0.7504
0.7501 0.8066 0.0000
0.2499 0.6934 0.5000
0.2498 0.5000 0.2504
0.2498 0.5000 0.7496
0.2499 0.3066 0.5000
```